Below is CsBa3Pt after structural relaxation, with properties calculated at the GGA-PBEsol level.

Calculated values
ΔE_f: -0.26 eV per atom

a b c (Å): 6.3595 6.3595 6.3595
angles (deg): 90.00 90.00 90.00
Space group Pm-3m (No. 221)
Asymmetric unit:
Cs 0.0000 0.0000 0.0000
Ba 0.0000 0.5000 0.5000
Pt 0.5000 0.5000 0.5000

Below is HfGaCl3 after structural relaxation, with properties calculated at the GGA-PBEsol level.

Calculated values
Formation energy (no corrections): -0.833 eV per atom

a b c (Å): 4.9196 4.9196 4.9196
angles (deg): 90.00 90.00 90.00
Space group Pm-3m (No. 221)
Asymmetric unit:
Hf 0.0000 0.0000 0.0000
Ga 0.5000 0.5000 0.5000
Cl 0.0000 0.0000 0.5000

Below is ZrTeCl2 after structural relaxation, with properties calculated at the GGA-PBEsol level.

Calculated values
Formation energy (no corrections): -0.550 eV per atom

a b c (Å): 6.0197 9.4890 3.7057
angles (deg): 90.00 125.66 90.00
Space group C2/m (No. 12)
Asymmetric unit:
Zr 0.0000 0.0000 0.0000
Te 0.0000 0.5000 0.0000
Cl 0.2500 0.2500 0.5000